Here is K2FeSO after structural relaxation from Alexandria via LeMat-Bulk. Energies are from GGA+U.

For the mass density, the calculation gives 1.8 g cm⁻³. For the total energy, the calculation gives -18.044 eV/f.u.

It has space group P4/mmm (No. 123), with a = 6.129 Å, b = 6.129 Å, c = 4.379 Å, α = 90.00°, β = 90.00° and γ = 90.00°. The distinct sites, in fractional coordinates, are K at (0.000, 0.500, 0.000), Fe at (0.000, 0.000, 0.500), S at (0.000, 0.000, 0.000) and O at (0.500, 0.500, 0.500).